Arrangement P

Below is Be3SiF at its PBEsol-relaxed geometry, with properties calculated at the meta-GGA SCAN level.

a b c (Å): 4.155 4.155 4.155
angles (deg): 90.00 90.00 90.00
Fractional positions:
Si 0.000 0.000 0.000
Be 0.000 0.000 0.500
Be 0.000 0.500 0.000
Be 0.500 0.000 0.000
F 0.500 0.500 0.500

Summary:
As for the crystal system: cubic. The value obtained for the density of states at the Fermi level is 0.303 states/eV/atom.


Arrangement Q

Below is Be3SiF at its PBEsol-relaxed geometry, with properties calculated at the meta-GGA SCAN level.

a b c (Å): 3.719 3.719 3.719
angles (deg): 90.00 90.00 90.00
Fractional positions:
Si 0.500 0.500 0.500
Be 0.500 0.000 0.000
Be 0.000 0.000 0.500
Be 0.000 0.500 0.000
F 0.000 0.000 0.000

Summary:
As for the crystal system: cubic. The value obtained for the density of states at the Fermi level is 0.087 states/eV/atom.


We find arrangement Q to be the most stable, with the next structure 233 meV/atom higher.


Arrangement P

Below is ZrBeF2 at its PBEsol-relaxed geometry, with properties calculated at the meta-GGA SCAN level.

a b c (Å): 4.052 4.052 4.052
angles (deg): 60.00 60.00 60.00
Fractional positions:
Zr 0.500 0.500 0.500
F 0.750 0.750 0.750
F 0.250 0.250 0.250
Be 0.000 0.000 0.000

Summary:
As for the crystal system: cubic. The value obtained for the density of states at the Fermi level is 0.455 states/eV/atom.


Arrangement Q

Below is ZrBeF2 at its PBEsol-relaxed geometry, with properties calculated at the meta-GGA SCAN level.

a b c (Å): 2.741 2.741 8.654
angles (deg): 80.89 80.89 60.00
Fractional positions:
Zr 0.000 0.000 0.000
F 0.133 0.133 0.601
F 0.867 0.867 0.399
Be 0.500 0.500 0.500

Summary:
As for the crystal system: trigonal. The value obtained for the density of states at the Fermi level is 0.462 states/eV/atom.


We find arrangement Q to be the most stable, with the next structure 689 meV/atom higher.


Arrangement P

Below is BeFe2Hg at its PBEsol-relaxed geometry, with properties calculated at the meta-GGA SCAN level.

a b c (Å): 2.764 4.249 4.727
angles (deg): 100.80 90.00 108.98
Fractional positions:
Fe 0.000 0.001 0.995
Fe 0.262 0.523 0.816
Hg 0.499 0.998 0.487
Be 0.739 0.478 0.202

Summary:
As for the crystal system: monoclinic. The value obtained for the density of states at the Fermi level is 0.496 states/eV/atom.


Arrangement Q

Below is BeFe2Hg at its PBEsol-relaxed geometry, with properties calculated at the meta-GGA SCAN level.

a b c (Å): 4.145 4.145 4.145
angles (deg): 60.00 60.00 60.00
Fractional positions:
Fe 0.750 0.750 0.750
Fe 0.000 0.000 0.000
Be 0.500 0.500 0.500
Hg 0.250 0.250 0.250

Summary:
As for the crystal system: cubic. The value obtained for the density of states at the Fermi level is 0.304 states/eV/atom.


We find arrangement Q to be the most stable, with the next structure 64 meV/atom higher.


Arrangement P

Below is BeInFe2 at its PBEsol-relaxed geometry, with properties calculated at the meta-GGA SCAN level.

a b c (Å): 4.105 4.105 4.105
angles (deg): 60.00 60.00 60.00
Fractional positions:
Fe 0.250 0.250 0.250
Fe 0.750 0.750 0.750
Be 0.000 0.000 0.000
In 0.500 0.500 0.500

Summary:
As for the crystal system: cubic. The value obtained for the density of states at the Fermi level is 0.811 states/eV/atom.


Arrangement Q

Below is BeInFe2 at its PBEsol-relaxed geometry, with properties calculated at the meta-GGA SCAN level.

a b c (Å): 2.657 3.917 4.996
angles (deg): 90.00 97.01 90.00
Fractional positions:
In 0.390 0.000 0.488
Fe 0.971 0.000 0.971
Fe 0.808 0.500 0.214
Be 0.331 0.500 0.827

Summary:
As for the crystal system: monoclinic. The value obtained for the density of states at the Fermi level is 0.348 states/eV/atom.


We find arrangement Q to be the most stable, with the next structure 201 meV/atom higher.